No. 1
This record from Alexandria describes an optimized crystal structure of CsBaCdSb2. The functional is PBE.

Summary:
The calculated volume is 212.2 Å³ per cell. The calculation puts the mass density at 4.90 Mg/m³. The value obtained for the size of the total moment is 0.000 μB per atom. The formation energy from raw total energies is -0.07 eV/atom.

The structure in extended XYZ format:
```
5
Lattice="-4.933 0.646 3.168 -2.754 -4.230 -3.425 1.834 -4.200 3.712" Properties=species:S:1:pos:R:3 pbc="T T T"
Cs -2.926 -3.892 1.728
Cd 0.000 0.000 0.000
Sb 0.917 -2.100 1.856
Sb -2.466 0.323 1.584
Ba -1.377 -2.115 -1.713
```



No. 2
This record from Alexandria describes an optimized crystal structure of CsBaCd2Sb2. The functional is PBE.

Summary:
The calculated volume is 230.9 Å³ per cell. The calculation puts the mass density at 5.31 Mg/m³. The value obtained for the size of the total moment is 0.000 μB per atom. The formation energy from raw total energies is -0.52 eV/atom.

The structure in extended XYZ format:
```
6
Lattice="4.951 0.000 0.000 -2.476 4.288 0.000 0.000 0.000 10.873" Properties=species:S:1:pos:R:3 pbc="T T T"
Ba 0.000 0.000 5.437
Cd 0.000 2.859 7.645
Cs 0.000 0.000 0.000
Sb 2.476 1.429 7.955
Cd 2.476 1.429 3.229
Sb 0.000 2.859 2.919
```



No. 3
This record from Alexandria describes an optimized crystal structure of Cs2BaCdSb2. The functional is PBE.

Summary:
The calculated volume is 548.5 Å³ per cell. The calculation puts the mass density at 4.60 Mg/m³. The value obtained for the size of the total moment is 0.000 μB per atom. The formation energy from raw total energies is -0.58 eV/atom.

The structure in extended XYZ format:
```
12
Lattice="7.956 0.000 0.000 0.000 7.919 0.000 -3.978 -3.960 8.705" Properties=species:S:1:pos:R:3 pbc="T T T"
Sb -1.684 3.960 7.080
Cs -1.752 0.000 5.613
Sb 1.684 0.000 7.080
Ba 0.000 5.939 0.000
Cd 3.978 5.939 0.000
Sb 2.294 3.960 1.625
Sb 5.662 0.000 1.625
Cs 1.752 3.960 5.613
Cs 5.730 3.960 3.092
Ba 0.000 1.980 0.000
Cd 3.978 1.980 0.000
Cs 2.226 0.000 3.092
```



- What is the size of the total moment in the third record?
  0.000 μB per atom